Entry 1:
# LaAl5Os2 (PBEsol, relaxed)
data_LaAl5Os2
_space_group_name_H-M_alt 'I m m m'
_space_group_IT_number 71
_space_group_name_Hall '-I 2 2'
_cell_length_a 3.909
_cell_length_b 7.514
_cell_length_c 9.844
_cell_angle_alpha 90.00
_cell_angle_beta 90.00
_cell_angle_gamma 90.00
loop_
_atom_site_label
_atom_site_type_symbol
_atom_site_fract_x
_atom_site_fract_y
_atom_site_fract_z
_atom_site_occupancy
La1 La 0.000 0.000 0.000 1
Al1 Al 0.000 0.188 0.342 1
Al2 Al 0.000 0.500 0.000 1
Os1 Os 0.000 0.500 0.247 1
# magnetic moment: 0.000 μB/atom
# calculated total energy: -6.690 eV/atom
# DFT formation energy: -411 meV per atom

=====

Entry 2:
# Zr2TcH2 (PBEsol, relaxed)
data_Zr2TcH2
_space_group_name_H-M_alt 'I 4/m m m'
_space_group_IT_number 139
_space_group_name_Hall '-I 4 2'
_cell_length_a 3.263
_cell_length_b 3.263
_cell_length_c 11.573
_cell_angle_alpha 90.00
_cell_angle_beta 90.00
_cell_angle_gamma 90.00
loop_
_atom_site_label
_atom_site_type_symbol
_atom_site_fract_x
_atom_site_fract_y
_atom_site_fract_z
_atom_site_occupancy
Zr1 Zr 0.000 0.000 0.137 1
Tc1 Tc 0.000 0.000 0.500 1
H1 H 0.000 0.500 0.250 1
# magnetic moment: 0.000 μB/atom
# calculated total energy: -7.718 eV/atom